[1]
Density functional theory data (PBE-GGA) for crystalline BeAlBr2 at its relaxed geometry.

Lattice parameters (Å, degrees): 6.387 3.393 9.352 90.00 106.83 90.00
Space group Cm (No. 8)
Unique sites:
Be 0.000 0.000 0.000 (multiplicity 2)
Al 0.214 0.000 0.811 (multiplicity 2)
Br 0.099 0.500 0.159 (multiplicity 2)
Br 0.464 0.000 0.616 (multiplicity 2)

ΔE_f (raw), eV per atom: -0.332


[2]
Density functional theory data (PBE-GGA) for crystalline BeAl2Br at its relaxed geometry.

Lattice parameters (Å, degrees): 3.087 5.234 8.985 90.00 90.00 90.00
Space group Immm (No. 71)
Unique sites:
Be 0.000 0.000 0.000 (multiplicity 2)
Al 0.000 0.500 0.276 (multiplicity 4)
Br 0.000 0.000 0.500 (multiplicity 2)

ΔE_f (raw), eV per atom: 0.434


[3]
Density functional theory data (PBE-GGA) for crystalline Be2AlBr at its relaxed geometry.

Lattice parameters (Å, degrees): 4.030 4.030 7.927 90.00 90.00 90.00
Space group I4/mmm (No. 139)
Unique sites:
Be 0.000 0.500 0.250 (multiplicity 4)
Al 0.000 0.000 0.000 (multiplicity 2)
Br 0.000 0.000 0.500 (multiplicity 2)

ΔE_f (raw), eV per atom: 0.976


[4]
Density functional theory data (PBE-GGA) for crystalline BeAl2Br at its relaxed geometry.

Lattice parameters (Å, degrees): 3.5496 3.5496 20.2572 90.00 90.00 120.00
Space group R-3m (No. 166, hexagonal axes)
Unique sites:
Be 0.0000 0.0000 0.0000 (multiplicity 3)
Al 0.0000 0.0000 0.2743 (multiplicity 6)
Br 0.0000 0.0000 0.5000 (multiplicity 3)

ΔE_f (raw), eV per atom: 0.158


[5]
Density functional theory data (PBE-GGA) for crystalline BeAl2Br at its relaxed geometry.

Lattice parameters (Å, degrees): 4.386 4.323 5.916 90.00 110.99 90.00
Space group Pm (No. 6)
Unique sites:
Be 0.000 0.000 0.000 (multiplicity 1)
Al 0.520 0.000 0.041 (multiplicity 1)
Al 0.948 0.500 0.904 (multiplicity 1)
Br 0.721 0.500 0.458 (multiplicity 1)

ΔE_f (raw), eV per atom: 0.288


[6]
Density functional theory data (PBE-GGA) for crystalline Be2AlBr at its relaxed geometry.

Lattice parameters (Å, degrees): 3.2340 3.2340 20.8084 90.00 90.00 120.00
Space group R-3m (No. 166, hexagonal axes)
Unique sites:
Be 0.0000 0.0000 0.2484 (multiplicity 6)
Al 0.0000 0.0000 0.5000 (multiplicity 3)
Br 0.0000 0.0000 0.0000 (multiplicity 3)

ΔE_f (raw), eV per atom: 0.463


[7]
Density functional theory data (PBE-GGA) for crystalline BeAlBr2 at its relaxed geometry.

Lattice parameters (Å, degrees): 3.588 4.093 6.428 90.00 90.00 90.00
Space group Pmmm (No. 47)
Unique sites:
Be 0.000 0.000 0.000 (multiplicity 1)
Al 0.500 0.000 0.500 (multiplicity 1)
Br 0.000 0.500 0.500 (multiplicity 1)
Br 0.500 0.500 0.000 (multiplicity 1)

ΔE_f (raw), eV per atom: 0.356


[8]
Density functional theory data (PBE-GGA) for crystalline BeAlBr2 at its relaxed geometry.

Lattice parameters (Å, degrees): 3.234 6.779 10.155 90.00 90.00 90.00
Space group Cmmm (No. 65)
Unique sites:
Be 0.000 0.000 0.000 (multiplicity 2)
Al 0.000 0.000 0.500 (multiplicity 2)
Br 0.000 0.500 0.157 (multiplicity 4)

ΔE_f (raw), eV per atom: -0.044


[9]
Density functional theory data (PBE-GGA) for crystalline BeAl2Br at its relaxed geometry.

Lattice parameters (Å, degrees): 4.061 4.061 9.105 90.00 90.00 90.00
Space group I4/mmm (No. 139)
Unique sites:
Be 0.000 0.000 0.000 (multiplicity 2)
Al 0.000 0.500 0.250 (multiplicity 4)
Br 0.000 0.000 0.500 (multiplicity 2)

ΔE_f (raw), eV per atom: 0.590


[10]
Density functional theory data (PBE-GGA) for crystalline BeAl3Br at its relaxed geometry.

Lattice parameters (Å, degrees): 5.310 5.310 5.310 90.00 90.00 90.00
Space group Pm-3m (No. 221)
Unique sites:
Be 0.000 0.000 0.000 (multiplicity 1)
Al 0.000 0.500 0.500 (multiplicity 3)
Br 0.500 0.500 0.500 (multiplicity 1)

ΔE_f (raw), eV per atom: 1.334


[11]
Density functional theory data (PBE-GGA) for crystalline BeAlBr at its relaxed geometry.

Lattice parameters (Å, degrees): 10.572 4.064 5.408 90.00 101.64 90.00
Space group Cc (No. 9)
Unique sites:
Be 0.000 0.013 0.000 (multiplicity 4)
Al 0.433 0.007 0.221 (multiplicity 4)
Br 0.201 0.227 0.093 (multiplicity 4)

ΔE_f (raw), eV per atom: -0.026


[12]
Density functional theory data (PBE-GGA) for crystalline BeAlBr2 at its relaxed geometry.

Lattice parameters (Å, degrees): 13.411 3.264 5.539 90.00 109.58 90.00
Space group C2/m (No. 12)
Unique sites:
Be 0.000 0.000 0.000 (multiplicity 2)
Al 0.000 0.500 0.500 (multiplicity 2)
Br 0.129 0.500 0.149 (multiplicity 4)

ΔE_f (raw), eV per atom: -0.048


[13]
Density functional theory data (PBE-GGA) for crystalline BeAlBr at its relaxed geometry.

Lattice parameters (Å, degrees): 3.891 4.632 8.956 95.51 92.84 113.62
Space group P-1 (No. 2)
Unique sites:
Be 0.039 0.112 0.402 (multiplicity 2)
Al 0.347 0.688 0.442 (multiplicity 2)
Br 0.324 0.157 0.798 (multiplicity 2)

ΔE_f (raw), eV per atom: -0.162


[14]
Density functional theory data (PBE-GGA) for crystalline BeAlBr at its relaxed geometry.

Lattice parameters (Å, degrees): 3.778 3.797 10.854 79.96 89.28 61.13
Space group P1 (No. 1)
Unique sites:
Be 0.000 0.000 0.000 (multiplicity 1)
Be 0.324 0.324 0.000 (multiplicity 1)
Al 0.690 0.598 0.103 (multiplicity 1)
Al 0.738 0.982 0.288 (multiplicity 1)
Br 0.113 0.277 0.816 (multiplicity 1)
Br 0.283 0.876 0.454 (multiplicity 1)

ΔE_f (raw), eV per atom: -0.131


[15]
Density functional theory data (PBE-GGA) for crystalline CaBe2AlBr at its relaxed geometry.

Lattice parameters (Å, degrees): 5.566 5.566 6.225 90.00 90.00 90.00
Space group P4/mmm (No. 123)
Unique sites:
Ca 0.000 0.000 0.000 (multiplicity 1)
Be 0.000 0.500 0.000 (multiplicity 2)
Al 0.000 0.000 0.500 (multiplicity 1)
Br 0.500 0.500 0.500 (multiplicity 1)

ΔE_f (raw), eV per atom: 1.423